A plane-wave DFT calculation with PBE was carried out for a relaxed BaGaBIr2 crystal.

Uncorrected energy, eV/atom: -6.358
Space-group type: I4mm (107)
ρ, g/cm³: 9.85
Magnetic moment, μB/f.u.: 0.01

```
BaGaBIr2
1.0
4.108 0.000 0.000
0.000 4.108 0.000
0.000 0.000 12.030
Ba Ga B Ir
2 2 2 4
Direct
0.000 0.000 0.000
0.500 0.500 0.500
0.000 0.000 0.341
0.500 0.500 0.841
0.000 0.000 0.681
0.500 0.500 0.181
0.000 0.500 0.222
0.000 0.500 0.722
0.500 0.000 0.222
0.500 0.000 0.722
```